1.
First-principles (GGA-PBEsol) data for an optimized crystal structure of Pr5Mg, as listed in the Alexandria database.

Cell: 6.2592 6.2592 6.7321 Å, 62.30 62.30 60.00°
Fractional coordinates of all 6 atoms:
Pr1 0.5000 0.8702 0.5000
Pr2 0.6581 0.6581 0.0257
Pr3 0.8702 0.1298 0.5000
Pr4 0.3419 0.3419 0.9743
Pr5 0.1298 0.5000 0.5000
Mg1 0.0000 0.0000 0.0000

As for the symmetry: R32, No. 155. The density comes out at 6.28 g cm⁻³.

2.
First-principles (GGA-PBEsol) data for an optimized crystal structure of Pr5Mg, as listed in the Alexandria database.

Cell: 3.6744 5.8192 9.2316 Å, 90.00 101.48 90.00°
Fractional coordinates of all 6 atoms:
Pr1 0.6769 0.0000 0.3538
Pr2 0.5528 0.5000 0.1055
Pr3 0.0092 0.0000 0.0183
Pr4 0.8751 0.5000 0.7501
Pr5 0.3371 0.0000 0.6743
Mg1 0.2157 0.5000 0.4314

As for the symmetry: Amm2, No. 38. The density comes out at 6.26 g cm⁻³.

Energy ordering: 1 at the bottom, the next structure 1.7 kJ/mol of atoms above.

1.
First-principles (GGA-PBEsol) data for an optimized crystal structure of Pr2MgSe4, as listed in the Alexandria database.

Cell: 7.5931 7.5931 7.5931 Å, 106.55 110.95 110.95°
Fractional coordinates of all 14 atoms:
Se1 0.8786 0.7697 0.5054
Se2 0.2643 0.4946 0.3732
Se3 0.7357 0.1089 0.2303
Se4 0.7643 0.1232 0.7446
Se5 0.6214 0.6411 0.8768
Se6 0.3786 0.2554 0.0197
Se7 0.1214 0.6268 0.8911
Se8 0.2357 0.9803 0.3589
Pr1 0.3732 0.8750 0.7482
Pr2 0.1268 0.2518 0.6250
Pr3 0.6268 0.3750 0.5018
Pr4 0.8732 0.4982 0.1250
Mg1 0.5000 0.7500 0.2500
Mg2 0.0000 0.0000 0.0000

As for the symmetry: I-42d, No. 122. The density comes out at 6.14 g cm⁻³.

2.
First-principles (GGA-PBEsol) data for an optimized crystal structure of Pr2MgSe4, as listed in the Alexandria database.

Cell: 6.9333 8.5274 14.3403 Å, 90.00 90.00 90.00°
Fractional coordinates of all 28 atoms:
Se1 0.7255 0.7500 0.0891
Se2 0.7341 0.0153 0.8267
Se3 0.2437 0.7500 0.9312
Se4 0.2563 0.7500 0.4312
Se5 0.2341 0.5153 0.6733
Se6 0.2745 0.2500 0.9109
Se7 0.2659 0.9847 0.1733
Se8 0.7341 0.4847 0.8267
Se9 0.7659 0.0153 0.3267
Se10 0.2255 0.2500 0.4109
Se11 0.7563 0.2500 0.0688
Se12 0.7659 0.4847 0.3267
Se13 0.2659 0.5153 0.1733
Se14 0.7437 0.2500 0.5688
Se15 0.7745 0.7500 0.5891
Se16 0.2341 0.9847 0.6733
Pr1 0.0000 0.0000 0.5000
Pr2 0.5167 0.7500 0.2701
Pr3 0.5000 0.5000 0.0000
Pr4 0.0167 0.2500 0.2299
Pr5 0.9833 0.7500 0.7701
Pr6 0.4833 0.2500 0.7299
Pr7 0.0000 0.5000 0.5000
Pr8 0.5000 0.0000 0.0000
Mg1 0.5901 0.2500 0.4032
Mg2 0.4099 0.7500 0.5968
Mg3 0.0901 0.7500 0.0968
Mg4 0.9099 0.2500 0.9032

As for the symmetry: Pnma, No. 62. The density comes out at 4.87 g cm⁻³.

3.
First-principles (GGA-PBEsol) data for an optimized crystal structure of Pr2MgSe4, as listed in the Alexandria database.

Cell: 8.4154 8.4154 8.4154 Å, 60.00 60.00 60.00°
Fractional coordinates of all 14 atoms:
Mg1 0.2500 0.2500 0.2500
Mg2 0.0000 0.0000 0.0000
Se1 0.3771 0.3771 0.8686
Se2 0.3771 0.3771 0.3771
Se3 0.8729 0.8729 0.3814
Se4 0.8686 0.3771 0.3771
Se5 0.3771 0.8686 0.3771
Se6 0.3814 0.8729 0.8729
Se7 0.8729 0.3814 0.8729
Se8 0.8729 0.8729 0.8729
Pr1 0.6250 0.1250 0.6250
Pr2 0.6250 0.6250 0.6250
Pr3 0.6250 0.6250 0.1250
Pr4 0.1250 0.6250 0.6250

As for the symmetry: Fd-3m, No. 227. The density comes out at 4.90 g cm⁻³.

Energy ordering: 1 at the bottom, the next structure 4.7 kJ/mol of atoms above.

1.
First-principles (GGA-PBEsol) data for an optimized crystal structure of Mg2RePt, as listed in the Alexandria database.

Cell: 3.9689 3.9689 4.8730 Å, 114.03 114.03 90.00°
Fractional coordinates of all 4 atoms:
Pt1 0.5000 0.5000 0.0000
Re1 0.2500 0.7500 0.5000
Mg1 0.0000 0.0000 0.0000
Mg2 0.7500 0.2500 0.5000

As for the symmetry: I-4m2, No. 119. The density comes out at 11.38 g cm⁻³.

2.
First-principles (GGA-PBEsol) data for an optimized crystal structure of Mg2RePt, as listed in the Alexandria database.

Cell: 3.9116 3.9116 4.9554 Å, 113.25 113.25 90.00°
Fractional coordinates of all 4 atoms:
Pt1 0.5000 0.5000 0.0000
Re1 0.0000 0.0000 0.0000
Mg1 0.2500 0.7500 0.5000
Mg2 0.7500 0.2500 0.5000

As for the symmetry: I4/mmm, No. 139. The density comes out at 11.35 g cm⁻³.

Energy ordering: 2 at the bottom, the next structure 2.8 kJ/mol of atoms above.

1.
First-principles (GGA-PBEsol) data for an optimized crystal structure of Mg2TcPt, as listed in the Alexandria database.

Cell: 2.7029 5.2241 5.2241 Å, 114.61 101.96 101.96°
Fractional coordinates of all 4 atoms:
Tc1 0.5000 0.5000 0.5000
Pt1 0.5000 0.0000 0.0000
Mg1 0.0000 0.0000 0.5000
Mg2 0.0000 0.5000 0.0000

As for the symmetry: C2/m, No. 12. The density comes out at 9.16 g cm⁻³.

2.
First-principles (GGA-PBEsol) data for an optimized crystal structure of Mg2TcPt, as listed in the Alexandria database.

Cell: 3.9382 3.9382 4.9063 Å, 113.66 113.66 90.00°
Fractional coordinates of all 4 atoms:
Mg1 0.2500 0.7500 0.5000
Mg2 0.7500 0.2500 0.5000
Pt1 0.5000 0.5000 0.0000
Tc1 0.0000 0.0000 0.0000

As for the symmetry: I4/mmm, No. 139. The density comes out at 9.06 g cm⁻³.

Energy ordering: 1 at the bottom, the next structure 9.5 kJ/mol of atoms above.

1.
First-principles (GGA-PBEsol) data for an optimized crystal structure of MgTl2Pt, as listed in the Alexandria database.

Cell: 3.3262 3.3262 7.8921 Å, 90.00 90.00 90.00°
Fractional coordinates of all 4 atoms:
Tl1 0.5000 0.5000 0.2748
Tl2 0.0000 0.0000 0.9518
Mg1 0.0000 0.0000 0.5557
Pt1 0.5000 0.5000 0.7176

As for the symmetry: P4mm, No. 99. The density comes out at 11.95 g cm⁻³.

2.
First-principles (GGA-PBEsol) data for an optimized crystal structure of MgTl2Pt, as listed in the Alexandria database.

Cell: 3.4205 4.8156 5.1932 Å, 90.00 93.78 90.00°
Fractional coordinates of all 4 atoms:
Tl1 0.7811 0.0000 0.7420
Tl2 0.2189 0.0000 0.2580
Mg1 0.5000 0.5000 0.0000
Pt1 0.0000 0.5000 0.5000

As for the symmetry: P2/m, No. 10. The density comes out at 12.22 g cm⁻³.

Energy ordering: 1 at the bottom, the next structure 17.7 kJ/mol of atoms above.

1.
First-principles (GGA-PBEsol) data for an optimized crystal structure of RbMgSn3, as listed in the Alexandria database.

Cell: 5.9146 5.9146 5.9146 Å, 90.00 90.00 90.00°
Fractional coordinates of all 5 atoms:
Sn1 0.0000 0.5000 0.0000
Sn2 0.0000 0.0000 0.5000
Sn3 0.5000 0.0000 0.0000
Mg1 0.5000 0.5000 0.5000
Rb1 0.0000 0.0000 0.0000

As for the symmetry: Pm-3m, No. 221. The density comes out at 3.74 g cm⁻³.

2.
First-principles (GGA-PBEsol) data for an optimized crystal structure of RbMgSn3, as listed in the Alexandria database.

Cell: 5.4995 5.4995 5.4995 Å, 90.00 90.00 90.00°
Fractional coordinates of all 5 atoms:
Sn1 0.0000 0.0000 0.5000
Sn2 0.5000 0.0000 0.0000
Sn3 0.0000 0.5000 0.0000
Mg1 0.0000 0.0000 0.0000
Rb1 0.5000 0.5000 0.5000

As for the symmetry: Pm-3m, No. 221. The density comes out at 4.65 g cm⁻³.

Energy ordering: 2 at the bottom, the next structure 107.4 kJ/mol of atoms above.

1.
First-principles (GGA-PBEsol) data for an optimized crystal structure of RbMg2Tl2, as listed in the Alexandria database.

Cell: 4.9994 4.9994 7.1746 Å, 110.39 110.39 90.00°
Fractional coordinates of all 5 atoms:
Rb1 0.0000 0.0000 0.0000
Tl1 0.6212 0.6212 0.2423
Tl2 0.3788 0.3788 0.7577
Mg1 0.2500 0.7500 0.5000
Mg2 0.7500 0.2500 0.5000

As for the symmetry: I4/mmm, No. 139. The density comes out at 5.78 g cm⁻³.

2.
First-principles (GGA-PBEsol) data for an optimized crystal structure of RbMg2Tl2, as listed in the Alexandria database.

Cell: 3.2369 9.4094 9.4094 Å, 90.00 90.00 90.00°
Fractional coordinates of all 10 atoms:
Tl1 0.0000 0.6531 0.1531
Tl2 0.0000 0.1531 0.3469
Tl3 0.0000 0.8469 0.6531
Tl4 0.0000 0.3469 0.8469
Mg1 0.5000 0.1349 0.6349
Mg2 0.5000 0.8651 0.3651
Mg3 0.5000 0.6349 0.8651
Mg4 0.5000 0.3651 0.1349
Rb1 0.0000 0.5000 0.5000
Rb2 0.0000 0.0000 0.0000

As for the symmetry: P4/mbm, No. 127. The density comes out at 6.29 g cm⁻³.

Energy ordering: 2 at the bottom, the next structure 0.9 kJ/mol of atoms above.

1.
First-principles (GGA-PBEsol) data for an optimized crystal structure of MgRe2Sb, as listed in the Alexandria database.

Cell: 2.8722 4.5486 5.3012 Å, 90.00 93.93 90.00°
Fractional coordinates of all 4 atoms:
Mg1 0.0000 0.5000 0.5000
Re1 0.3496 0.0000 0.2800
Re2 0.6504 0.0000 0.7200
Sb1 0.5000 0.5000 0.0000

As for the symmetry: P2/m, No. 10. The density comes out at 12.46 g cm⁻³.

2.
First-principles (GGA-PBEsol) data for an optimized crystal structure of MgRe2Sb, as listed in the Alexandria database.

Cell: 2.9555 4.4315 5.3408 Å, 90.00 104.75 90.00°
Fractional coordinates of all 4 atoms:
Sb1 0.6800 0.0000 0.5119
Re1 0.5866 0.5000 0.2195
Re2 0.9627 0.0000 0.0468
Mg1 0.2706 0.5000 0.7218

As for the symmetry: Pm, No. 6. The density comes out at 12.73 g cm⁻³.

Energy ordering: 2 at the bottom, the next structure 10.8 kJ/mol of atoms above.